Material: TmLuScRh
Method: DFT, GGA-PBE
State: relaxed

Computed properties:
energy relative to the elements: -0.264 eV per atom
crystal system: cubic
symmetry: No. 216

a b c (Å): 4.997 4.997 4.997
angles (deg): 60.00 60.00 60.00
Fractional positions:
1 Sc 0.000 0.000 0.000
2 Lu 0.750 0.750 0.750
3 Tm 0.250 0.250 0.250
4 Rh 0.500 0.500 0.500